! SrOsO3 (PBE, relaxed); values from VASP
&SYSTEM
  ibrav = 0, nat = 10, ntyp = 3
/
ATOMIC_SPECIES
O 16.00 O.upf
Os 190.23 Os.upf
Sr 87.62 Sr.upf
ATOMIC_POSITIONS angstrom
O -0.0681 -3.0420 5.6907
O 1.9996 -1.7912 4.0925
O 2.4576 3.4705 0.8486
O 0.3410 -0.9199 2.2928
O 2.0481 1.3481 4.2469
O 0.3893 2.2191 2.4471
Os 1.4356 3.1019 3.9371
Os -0.6560 3.9465 2.5859
Sr 2.2525 0.7283 1.4905
Sr 0.1368 -0.3005 5.0491
CELL_PARAMETERS angstrom
3.7257 0.0150 -0.0249
-1.6094 6.6204 -0.0165
-0.5070 -3.7663 6.0102
! formation energy from raw total energies	-1.761	eV per atom
! total moment	0.00	μB per cell